[1]
A crystal of Sb2TeRuO relaxed with PBEsol. Source: Alexandria via LeMat-Bulk, functional meta-GGA SCAN.

ρ: 6.46 g/cm3
energy relative to the elements, uncorrected: 0.8016 eV per atom
energy: -29.764 eV/atom

Cell lengths 5.025, 5.025, 4.973 Å; angles 90.00, 90.00, 90.00 degrees
Space group P4/mmm (No. 123)
Inequivalent atoms, fractional coordinates:
Sb1 0.000 0.500 0.000 x2
Te1 0.000 0.000 0.500 x1
Ru1 0.000 0.000 0.000 x1
O1 0.500 0.500 0.500 x1

***

[2]
A crystal of InReW2S relaxed with PBEsol. Source: Alexandria via LeMat-Bulk, functional meta-GGA SCAN.

ρ: 10.49 g/cm3
energy relative to the elements, uncorrected: 3.3468 eV per atom
energy: -47.351 eV/atom

Cell lengths 4.954, 4.954, 4.518 Å; angles 90.00, 90.00, 90.00 degrees
Space group P4/mmm (No. 123)
Inequivalent atoms, fractional coordinates:
In1 0.000 0.000 0.000 x1
Re1 0.500 0.500 0.500 x1
W1 0.000 0.500 0.000 x2
S1 0.000 0.000 0.500 x1

***

[3]
A crystal of MnWN2O relaxed with PBEsol. Source: Alexandria via LeMat-Bulk, functional meta-GGA SCAN.

ρ: 10.03 g/cm3
energy relative to the elements, uncorrected: 0.4039 eV per atom
energy: -22.147 eV/atom

Cell lengths 3.648, 3.648, 3.520 Å; angles 90.00, 90.00, 90.00 degrees
Space group P4/mmm (No. 123)
Inequivalent atoms, fractional coordinates:
Mn1 0.000 0.000 0.000 x1
W1 0.500 0.500 0.500 x1
N1 0.000 0.500 0.000 x2
O1 0.000 0.000 0.500 x1

***

[4]
A crystal of K5Na3Nb8O24 relaxed with PBEsol. Source: Alexandria via LeMat-Bulk, functional meta-GGA SCAN.

ρ: 4.50 g/cm3
energy relative to the elements, uncorrected: -2.6390 eV per atom
energy: -14.361 eV/atom

Cell lengths 8.007, 8.007, 8.004 Å; angles 90.00, 90.00, 90.00 degrees
Space group P4/mmm (No. 123)
Inequivalent atoms, fractional coordinates:
K1 0.000 0.000 0.000 x1
K2 0.000 0.000 0.500 x1
K3 0.000 0.500 0.000 x2
K4 0.500 0.500 0.000 x1
Na1 0.000 0.500 0.500 x2
Na2 0.500 0.500 0.500 x1
Nb1 0.251 0.251 0.252 x8
O1 0.000 0.252 0.253 x8
O2 0.251 0.251 0.000 x4
O3 0.251 0.500 0.254 x8
O4 0.252 0.252 0.500 x4

***

[5]
A crystal of Ho2NiRu relaxed with PBEsol. Source: Alexandria via LeMat-Bulk, functional meta-GGA SCAN.

ρ: 11.14 g/cm3
energy relative to the elements: -1.95 eV per formula unit
energy: -37.732 eV/atom

Cell lengths 6.634, 6.634, 6.634 Å; angles 90.00, 90.00, 90.00 degrees
Space group Fm-3m (No. 225)
Inequivalent atoms, fractional coordinates:
Ho1 0.250 0.250 0.250 x8
Ni1 0.000 0.000 0.000 x4
Ru1 0.000 0.000 0.500 x4

***

[6]
A crystal of EuGa2Ge4 relaxed with PBEsol. Source: Alexandria via LeMat-Bulk, functional meta-GGA SCAN.

ρ: 6.41 g/cm3
energy relative to the elements: -1.75 eV per formula unit
energy: -23.501 eV/atom

Cell lengths 4.148, 11.106, 13.084 Å; angles 90.00, 90.00, 90.00 degrees
Space group Cmcm (No. 63)
Inequivalent atoms, fractional coordinates:
Eu1 0.000 0.213 0.250 x4
Ga1 0.000 0.478 0.593 x8
Ge1 0.000 0.068 0.656 x8
Ge2 0.000 0.260 0.554 x8

***

[7]
A crystal of Ca3SbRh relaxed with PBEsol. Source: Alexandria via LeMat-Bulk, functional meta-GGA SCAN.

ρ: 3.15 g/cm3
energy relative to the elements, uncorrected: 0.1982 eV per atom
energy: -19.806 eV/atom

Cell lengths 5.667, 5.667, 5.667 Å; angles 90.00, 90.00, 90.00 degrees
Space group Pm-3m (No. 221)
Inequivalent atoms, fractional coordinates:
Ca1 0.000 0.000 0.500 x3
Sb1 0.000 0.000 0.000 x1
Rh1 0.500 0.500 0.500 x1

***

[8]
A crystal of BeFe2Ir relaxed with PBEsol. Source: Alexandria via LeMat-Bulk, functional meta-GGA SCAN.

ρ: 11.89 g/cm3
energy relative to the elements: -1.21 eV per formula unit
energy: -28.231 eV/atom

Cell lengths 2.836, 3.775, 4.083 Å; angles 90.00, 90.00, 90.00 degrees
Space group Pmmm (No. 47)
Inequivalent atoms, fractional coordinates:
Be1 0.000 0.000 0.000 x1
Fe1 0.000 0.500 0.500 x1
Fe2 0.500 0.000 0.500 x1
Ir1 0.500 0.500 0.000 x1

***

[9]
A crystal of ZnGaNO relaxed with PBEsol. Source: Alexandria via LeMat-Bulk, functional meta-GGA SCAN.

ρ: 5.87 g/cm3
energy relative to the elements, uncorrected: -1.0641 eV per atom
energy: -12.410 eV/atom

Cell lengths 3.231, 5.534, 5.230 Å; angles 90.00, 90.00, 90.00 degrees
Space group Pmc2_1 (No. 26)
Inequivalent atoms, fractional coordinates:
Zn1 0.000 0.176 0.000 x2
Ga1 0.500 0.349 0.483 x2
N1 0.500 0.336 0.123 x2
O1 0.000 0.180 0.602 x2

***

[10]
A crystal of LiTaP2 relaxed with PBEsol. Source: Alexandria via LeMat-Bulk, functional meta-GGA SCAN.

ρ: 6.34 g/cm3
energy relative to the elements: -2.41 eV per formula unit
energy: -23.045 eV/atom

Cell lengths 5.936, 3.344, 6.868 Å; angles 90.00, 106.16, 90.00 degrees
Space group C2/m (No. 12)
Inequivalent atoms, fractional coordinates:
Li1 0.000 0.000 0.000 x2
Ta1 0.000 0.500 0.500 x2
P1 0.245 0.000 0.738 x4

***

[11]
A crystal of SrH2F2 relaxed with PBEsol. Source: Alexandria via LeMat-Bulk, functional meta-GGA SCAN.

ρ: 4.15 g/cm3
energy: -9.701 eV/atom

Cell lengths 4.074, 4.074, 6.162 Å; angles 90.00, 90.00, 90.00 degrees
Space group I4/mmm (No. 139)
Inequivalent atoms, fractional coordinates:
Sr1 0.000 0.000 0.000 x2
H1 0.000 0.000 0.438 x4
F1 0.000 0.500 0.250 x4

***

[12]
A crystal of SrSbOs2 relaxed with PBEsol. Source: Alexandria via LeMat-Bulk, functional meta-GGA SCAN.

ρ: 12.36 g/cm3
energy relative to the elements, uncorrected: 0.4350 eV per atom
energy: -50.389 eV/atom

Cell lengths 3.071, 3.071, 8.403 Å; angles 90.00, 90.00, 90.00 degrees
Space group P4mm (No. 99)
Inequivalent atoms, fractional coordinates:
Sr1 0.000 0.000 0.000 x1
Sb1 0.500 0.500 0.671 x1
Os1 0.000 0.000 0.447 x1
Os2 0.500 0.500 0.273 x1

***

[13]
A crystal of RePt5 relaxed with PBEsol. Source: Alexandria via LeMat-Bulk, functional meta-GGA SCAN.

ρ: 21.56 g/cm3
energy relative to the elements: 0.18 eV per formula unit
energy: -70.314 eV/atom

Cell lengths 4.545, 2.742, 14.360 Å; angles 90.00, 90.00, 90.00 degrees
Space group Amm2 (No. 38)
Inequivalent atoms, fractional coordinates:
Re1 0.000 0.000 0.000 x2
Pt1 0.000 0.000 0.339 x2
Pt2 0.000 0.000 0.662 x2
Pt3 0.500 0.000 0.106 x2
Pt4 0.500 0.000 0.441 x2
Pt5 0.500 0.000 0.772 x2

***

[14]
A crystal of ReSnAs3 relaxed with PBEsol. Source: Alexandria via LeMat-Bulk, functional meta-GGA SCAN.

ρ: 7.85 g/cm3
energy relative to the elements: 3.27 eV per formula unit
energy: -32.865 eV/atom

Cell lengths 4.821, 4.821, 4.821 Å; angles 90.00, 90.00, 90.00 degrees
Space group Pm-3m (No. 221)
Inequivalent atoms, fractional coordinates:
Re1 0.000 0.000 0.000 x1
Sn1 0.500 0.500 0.500 x1
As1 0.000 0.000 0.500 x3

***

[15]
A crystal of Cr2FeTc relaxed with PBEsol. Source: Alexandria via LeMat-Bulk, functional meta-GGA SCAN.

ρ: 9.13 g/cm3
energy relative to the elements: 0.81 eV per formula unit
energy: -22.286 eV/atom

Cell lengths 3.620, 3.620, 7.157 Å; angles 90.00, 90.00, 90.00 degrees
Space group I4/mmm (No. 139)
Inequivalent atoms, fractional coordinates:
Cr1 0.000 0.500 0.250 x4
Fe1 0.000 0.000 0.000 x2
Tc1 0.000 0.000 0.500 x2

***

[16]
A crystal of LaTl5 relaxed with PBEsol. Source: Alexandria via LeMat-Bulk, functional meta-GGA SCAN.

ρ: 11.72 g/cm3
energy relative to the elements: -1.59 eV per formula unit
energy: -67.747 eV/atom

Cell lengths 4.701, 13.796, 5.073 Å; angles 90.00, 90.00, 90.00 degrees
Space group Cmmm (No. 65)
Inequivalent atoms, fractional coordinates:
La1 0.000 0.000 0.000 x2
Tl1 0.000 0.169 0.500 x4
Tl2 0.000 0.325 0.000 x4
Tl3 0.000 0.500 0.500 x2

***

[17]
A crystal of Ta5Mo3 relaxed with PBEsol. Source: Alexandria via LeMat-Bulk, functional meta-GGA SCAN.

ρ: 14.88 g/cm3
energy relative to the elements: -0.67 eV per formula unit
energy: -54.781 eV/atom

Cell lengths 5.610, 17.972, 2.818 Å; angles 90.00, 110.42, 90.00 degrees
Space group C2 (No. 5)
Inequivalent atoms, fractional coordinates:
Ta1 0.000 0.000 0.000 x2
Ta2 0.000 0.242 0.000 x2
Ta3 0.000 0.742 0.000 x2
Ta4 0.248 0.372 0.490 x4
Mo1 0.000 0.499 0.000 x2
Mo2 0.248 0.619 0.495 x4

***

[18]
A crystal of Zr2H2Ru relaxed with PBEsol. Source: Alexandria via LeMat-Bulk, functional meta-GGA SCAN.

ρ: 7.82 g/cm3
energy: -21.315 eV/atom

Cell lengths 3.177, 3.177, 12.021 Å; angles 90.00, 90.00, 90.00 degrees
Space group I4/mmm (No. 139)
Inequivalent atoms, fractional coordinates:
Zr1 0.000 0.000 0.137 x4
H1 0.000 0.500 0.250 x4
Ru1 0.000 0.000 0.500 x2

***

[19]
A crystal of Al2InSe relaxed with PBEsol. Source: Alexandria via LeMat-Bulk, functional meta-GGA SCAN.

ρ: 5.09 g/cm3
energy relative to the elements, uncorrected: 0.0628 eV per atom
energy: -17.179 eV/atom

Cell lengths 10.725, 3.367, 5.076 Å; angles 90.00, 118.14, 90.00 degrees
Space group C2/m (No. 12)
Inequivalent atoms, fractional coordinates:
Al1 0.224 0.000 0.224 x4
In1 0.000 0.000 0.500 x2
Se1 0.000 0.500 0.000 x2

***

[20]
A crystal of Ba2AgSb relaxed with PBEsol. Source: Alexandria via LeMat-Bulk, functional meta-GGA SCAN.

ρ: 6.59 g/cm3
energy relative to the elements, uncorrected: -0.2883 eV per atom
energy: -37.220 eV/atom

Cell lengths 7.980, 7.980, 7.980 Å; angles 90.00, 90.00, 90.00 degrees
Space group F-43m (No. 216)
Inequivalent atoms, fractional coordinates:
Ba1 0.000 0.000 0.000 x4
Ba2 0.250 0.250 0.250 x4
Ag1 0.250 0.250 0.750 x4
Sb1 0.000 0.000 0.500 x4